No. 1
Material: Na2ZrZnPt
Method: DFT, PBE-GGA
State: relaxed

The space group is P4/mmm (No. 123) and the conventional cell measures 4.7257, 4.7257 and 4.8906 Å, with angles of 90.00, 90.00 and 90.00 degrees. The distinct sites, in fractional coordinates, are Na at (0.0000, 0.5000, 0.0000), Zr at (0.0000, 0.0000, 0.5000), Zn at (0.5000, 0.5000, 0.0000) and Pt at (0.5000, 0.5000, 0.5000).

The formation energy is 0.569 eV per atom. For the theoretical density, the calculation gives 6.0 g cm⁻³. As for the total energy: -3.1309 eV/atom.

No. 2
Material: NaZrPt2
Method: DFT, PBE-GGA
State: relaxed

The space group is I-42d (No. 122) and the conventional cell measures 7.4063, 7.4063 and 5.7981 Å, with angles of 90.00, 90.00 and 90.00 degrees. The distinct sites, in fractional coordinates, are Na at (0.0000, 0.0000, 0.0000), Zr at (0.0000, 0.0000, 0.5000) and Pt at (0.2311, 0.2500, 0.6250).

The formation energy is -0.278 eV per atom. For the theoretical density, the calculation gives 10.5 g cm⁻³. As for the total energy: -5.7648 eV/atom.

No. 3
Material: Na3ZrPt
Method: DFT, PBE-GGA
State: relaxed

The space group is Pm-3m (No. 221) and the conventional cell measures 5.8279, 5.8279 and 5.8279 Å, with angles of 90.00, 90.00 and 90.00 degrees. The distinct sites, in fractional coordinates, are Na at (0.0000, 0.0000, 0.5000), Zr at (0.0000, 0.0000, 0.0000) and Pt at (0.5000, 0.5000, 0.5000).

The formation energy is 1.656 eV per atom. The energy above the most stable polymorph in this dataset comes out at 804 meV per atom. For the theoretical density, the calculation gives 3.0 g cm⁻³. As for the total energy: -2.0533 eV/atom.

No. 4
Material: NaZrPt4
Method: DFT, PBE-GGA
State: relaxed

The space group is F-43m (No. 216) and the conventional cell measures 7.5284, 7.5284 and 7.5284 Å, with angles of 90.00, 90.00 and 90.00 degrees. The distinct sites, in fractional coordinates, are Na at (0.0000, 0.0000, 0.0000), Zr at (0.2500, 0.2500, 0.7500) and Pt at (0.1254, 0.1254, 0.3746).

The formation energy is -0.613 eV per atom. For the theoretical density, the calculation gives 13.9 g cm⁻³. As for the total energy: -6.2849 eV/atom.